ScCo2Re: optimized geometry, GGA-PBE.

Lattice parameters (Å, degrees): 3.5668 2.7369 6.2728 64.69 90.00 90.00
With the nearest neighbours (Å) after each atom.
Atoms (fractional coordinates):
Co1 0.0000 0.5291 0.4704  3 Co 2.50-2.74, 4 Re 2.56-2.58, 4 Sc 2.74-2.76
Sc1 0.5000 0.7500 0.7500  2 Sc 2.74, 8 Co 2.74-2.76, 2 Re 2.84
Co2 0.0000 0.9709 0.0296  3 Co 2.50-2.74, 4 Re 2.56-2.58, 4 Sc 2.74-2.76
Re1 0.5000 0.2500 0.2500  8 Co 2.56-2.58, 2 Re 2.74, 2 Sc 2.84

## Properties
polymorph energy (0 for the lowest one) = 0.072 eV per atom
D(E_F) = 4.418 states/eV per cell
DFT total energy = -0.303 hartree per atom
V = 13.839 Å³ per atom